Below is TaMo2HBr after structural relaxation, with properties calculated at the PBE level.

Structure (POSCAR):
```
TaMo2HBr
1.0
4.591 0.000 0.000
0.000 4.761 0.000
0.000 0.000 4.591
Mo Br Ta H
2 1 1 1
Direct
0.000 0.000 0.500
0.500 0.000 0.000
0.000 0.000 0.000
0.000 0.500 0.000
0.500 0.500 0.500
```

Output
DFT total energy ... -26.9 eV per formula unit
Space-group type ... P4/mmm



Below is TlMoH2Br8 after structural relaxation, with properties calculated at the PBE level.

Structure (POSCAR):
```
TlMoH2Br8
1.0
-6.442 -1.648 2.745
1.282 -7.592 0.252
1.740 5.389 7.022
Br H Tl Mo
8 2 1 1
Direct
0.153 0.770 0.097
0.729 0.795 0.904
0.619 0.724 0.353
0.271 0.205 0.096
0.847 0.230 0.903
0.161 0.763 0.694
0.839 0.237 0.306
0.381 0.276 0.647
0.291 0.464 0.661
0.709 0.536 0.339
0.000 0.000 0.500
0.000 0.000 0.000
```

Output
DFT total energy ... -38.7 eV per formula unit
Space-group type ... P-1



Below is TlMoHBr6 after structural relaxation, with properties calculated at the PBE level.

Structure (POSCAR):
```
TlMoHBr6
1.0
-1.263 0.957 7.860
5.144 0.508 10.088
2.712 5.990 3.393
Br H Mo Tl
6 1 1 1
Direct
0.588 0.043 0.263
0.253 0.050 0.823
0.370 0.519 0.121
0.850 0.533 0.321
0.777 0.029 0.640
0.059 0.523 0.680
0.805 0.793 0.468
0.315 0.284 0.477
0.982 0.226 0.208
```

Output
DFT total energy ... -31.2 eV per formula unit
Space-group type ... P1



Below is NaH6Br2N2 after structural relaxation, with properties calculated at the PBE level.

Structure (POSCAR):
```
NaH6Br2N2
1.0
-3.755 -5.483 0.943
2.719 -3.776 3.755
-6.181 1.981 1.743
H Br N Na
6 2 2 1
Direct
0.165 0.652 0.854
0.204 0.579 0.573
0.835 0.348 0.146
0.012 0.527 0.738
0.988 0.473 0.262
0.796 0.421 0.427
0.750 0.251 0.750
0.250 0.749 0.250
0.817 0.496 0.316
0.183 0.504 0.684
0.500 0.000 0.500
```

Output
DFT total energy ... -47.4 eV per formula unit
Space-group type ... P-1



Below is PaHBrN2 after structural relaxation, with properties calculated at the PBE level.

Structure (POSCAR):
```
PaHBrN2
1.0
3.686 0.000 0.000
0.000 5.872 -0.332
0.000 -1.360 7.257
N H Pa Br
4 2 2 2
Direct
0.750 0.930 0.609
0.750 0.362 0.658
0.250 0.638 0.342
0.250 0.070 0.391
0.750 0.514 0.611
0.250 0.486 0.389
0.750 0.853 0.300
0.250 0.147 0.700
0.750 0.264 0.071
0.250 0.736 0.929
```

Output
DFT total energy ... -35.0 eV per formula unit
Space-group type ... P2_1/m



Below is H2PbBrN after structural relaxation, with properties calculated at the PBE level.

Structure (POSCAR):
```
H2PbBrN
1.0
3.937 0.000 0.000
-1.968 5.752 0.000
0.000 0.000 7.148
H N Br Pb
4 2 2 2
Direct
0.080 0.160 0.559
0.080 0.160 0.941
0.920 0.840 0.059
0.920 0.840 0.441
0.000 0.000 0.000
0.000 0.000 0.500
0.702 0.405 0.750
0.298 0.595 0.250
0.567 0.135 0.250
0.433 0.865 0.750
```

Output
DFT total energy ... -21.2 eV per formula unit
Space-group type ... Cmcm



Below is H6PdBrN2 after structural relaxation, with properties calculated at the PBE level.

Structure (POSCAR):
```
H6PdBrN2
1.0
-0.407 -1.118 7.072
4.251 -5.589 -1.457
2.386 4.342 -0.973
H Pd N Br
12 2 4 2
Direct
0.826 0.816 0.073
0.920 0.666 0.707
0.334 0.080 0.793
0.333 0.079 0.117
0.174 0.184 0.927
0.667 0.921 0.883
0.080 0.334 0.293
0.816 0.826 0.573
0.666 0.920 0.207
0.921 0.667 0.383
0.184 0.174 0.427
0.079 0.333 0.617
0.559 0.441 0.250
0.441 0.559 0.750
0.169 0.323 0.495
0.831 0.677 0.505
0.323 0.169 0.995
0.677 0.831 0.005
0.793 0.207 0.750
0.207 0.793 0.250
```

Output
DFT total energy ... -47.1 eV per formula unit
Space-group type ... C2/c



Below is H6PtBrN2 after structural relaxation, with properties calculated at the PBE level.

Structure (POSCAR):
```
H6PtBrN2
1.0
6.555 1.826 -1.150
1.010 6.730 -1.150
-3.375 -3.817 7.155
H N Br Pt
12 4 2 2
Direct
0.021 0.417 0.342
0.751 0.801 0.647
0.422 0.253 0.833
0.979 0.583 0.658
0.583 0.979 0.158
0.199 0.249 0.853
0.578 0.747 0.167
0.801 0.751 0.147
0.417 0.021 0.842
0.253 0.422 0.333
0.747 0.578 0.667
0.249 0.199 0.353
0.385 0.210 0.906
0.210 0.385 0.406
0.790 0.615 0.594
0.615 0.790 0.094
0.231 0.769 0.250
0.769 0.231 0.750
0.416 0.584 0.750
0.584 0.416 0.250
```

Output
DFT total energy ... -47.3 eV per formula unit
Space-group type ... C2/c



Below is RbH6Br2N2 after structural relaxation, with properties calculated at the PBE level.

Structure (POSCAR):
```
RbH6Br2N2
1.0
8.102 0.161 0.748
4.462 4.083 0.605
0.558 -2.551 7.449
N Rb H Br
2 1 6 2
Direct
0.648 0.542 0.167
0.352 0.458 0.833
0.500 0.000 0.500
0.790 0.297 0.184
0.514 0.390 0.820
0.712 0.516 0.036
0.210 0.703 0.816
0.288 0.484 0.964
0.486 0.610 0.180
0.935 0.230 0.649
0.065 0.770 0.351
```

Output
DFT total energy ... -47.0 eV per formula unit
Space-group type ... P-1



Below is RbH6BrN2 after structural relaxation, with properties calculated at the PBE level.

Structure (POSCAR):
```
RbH6BrN2
1.0
6.982 1.374 0.312
0.509 7.098 0.312
-1.978 -2.237 6.515
H Rb N Br
12 2 4 2
Direct
0.688 0.864 0.237
0.312 0.136 0.763
0.864 0.688 0.737
0.441 0.279 0.950
0.716 0.624 0.232
0.559 0.721 0.050
0.721 0.559 0.550
0.279 0.441 0.450
0.376 0.284 0.268
0.136 0.312 0.263
0.284 0.376 0.768
0.624 0.716 0.732
0.802 0.198 0.750
0.198 0.802 0.250
0.749 0.613 0.702
0.251 0.387 0.298
0.613 0.749 0.202
0.387 0.251 0.798
0.800 0.200 0.250
0.200 0.800 0.750
```

Output
DFT total energy ... -45.6 eV per formula unit
Space-group type ... C2/c



Below is Rb2HBr6N after structural relaxation, with properties calculated at the PBE level.

Structure (POSCAR):
```
Rb2HBr6N
1.0
-2.822 -0.114 6.097
2.630 -6.085 1.104
4.810 -0.558 5.919
Rb Br N H
2 6 1 1
Direct
0.250 0.750 0.500
0.750 0.250 0.500
0.258 0.258 0.000
0.258 0.742 0.000
0.201 0.201 0.598
0.799 0.799 0.402
0.742 0.258 0.000
0.742 0.742 0.000
0.000 0.000 0.000
0.500 0.500 0.000
```

Output
DFT total energy ... -24.7 eV per formula unit
Space-group type ... I4/mmm



Below is HRuBr2N after structural relaxation, with properties calculated at the PBE level.

Structure (POSCAR):
```
HRuBr2N
1.0
-3.265 -1.770 3.366
2.481 0.328 2.579
-1.578 4.667 0.924
N Ru H Br
1 1 1 2
Direct
0.500 0.500 0.500
0.000 0.000 0.000
0.000 0.500 0.000
0.500 0.000 0.000
0.000 0.000 0.500
```

Output
DFT total energy ... -18.2 eV per formula unit
Space-group type ... P4/mmm



Below is ScH3Br3N after structural relaxation, with properties calculated at the PBE level.

Structure (POSCAR):
```
ScH3Br3N
1.0
7.677 -0.085 0.005
1.458 9.682 -0.067
2.254 2.519 9.249
H Br N Sc
12 12 4 4
Direct
0.769 0.092 0.991
0.298 0.260 0.650
0.682 0.600 0.491
0.702 0.740 0.350
0.224 0.260 0.506
0.776 0.740 0.494
0.318 0.400 0.509
0.765 0.234 0.854
0.611 0.222 0.002
0.235 0.766 0.146
0.231 0.908 0.009
0.389 0.778 0.998
0.796 0.815 0.068
0.908 0.090 0.298
0.756 0.322 0.574
0.204 0.185 0.932
0.415 0.043 0.336
0.244 0.678 0.426
0.585 0.957 0.664
0.092 0.910 0.702
0.604 0.404 0.207
0.396 0.596 0.793
0.901 0.536 0.840
0.099 0.464 0.160
0.745 0.201 0.965
0.673 0.710 0.461
0.255 0.799 0.035
0.327 0.290 0.539
0.922 0.304 0.060
0.398 0.807 0.552
0.602 0.193 0.448
0.078 0.696 0.940
```

Output
DFT total energy ... -38.6 eV per formula unit
Space-group type ... P-1



Below is SiHBr2N after structural relaxation, with properties calculated at the PBE level.

Structure (POSCAR):
```
SiHBr2N
1.0
-2.418 4.347 -0.646
-2.610 -1.309 0.963
1.087 1.306 4.720
Si N Br H
1 1 2 1
Direct
0.500 0.500 0.500
0.000 0.000 0.000
0.000 0.000 0.500
0.500 0.000 0.000
0.000 0.500 0.000
```

Output
DFT total energy ... -15.2 eV per formula unit
Space-group type ... P4/mmm



Below is SnH4Br3N after structural relaxation, with properties calculated at the PBE level.

Structure (POSCAR):
```
SnH4Br3N
1.0
7.878 0.104 0.068
0.019 7.937 0.138
-7.213 -0.249 13.220
Br Sn H N
12 4 16 4
Direct
0.656 0.296 0.610
0.236 0.153 0.202
0.562 0.193 0.068
0.861 0.877 0.797
0.209 0.387 0.664
0.298 0.927 0.559
0.877 0.650 0.235
0.807 0.233 0.384
0.303 0.736 0.073
0.404 0.806 0.835
0.547 0.703 0.374
0.770 0.420 0.889
0.568 0.477 0.228
0.524 0.130 0.727
0.537 0.631 0.723
0.556 0.968 0.221
0.297 0.354 0.938
0.190 0.414 0.815
0.787 0.854 0.518
0.898 0.893 0.645
0.993 0.968 0.086
0.196 0.476 0.375
0.247 0.559 0.906
0.239 0.283 0.343
0.751 0.984 0.030
0.860 0.875 0.973
0.861 0.798 0.078
0.110 0.307 0.406
0.014 0.931 0.575
0.825 0.054 0.563
0.064 0.426 0.882
0.354 0.342 0.466
0.226 0.353 0.398
0.882 0.932 0.575
0.866 0.906 0.041
0.199 0.437 0.885
```

Output
DFT total energy ... -36.5 eV per formula unit
Space-group type ... P1



Below is SnH4Br3N after structural relaxation, with properties calculated at the PBE level.

Structure (POSCAR):
```
SnH4Br3N
1.0
4.655 -0.031 -0.036
-2.380 7.444 0.049
-0.104 0.222 11.292
H Sn Br N
8 2 6 2
Direct
0.302 0.426 0.064
0.847 0.429 0.574
0.133 0.450 0.932
0.887 0.546 0.442
0.668 0.584 0.552
0.453 0.613 0.978
0.553 0.386 0.480
0.124 0.586 0.045
0.036 0.015 0.734
0.979 0.977 0.239
0.521 0.241 0.182
0.773 0.284 0.788
0.087 0.144 0.495
0.482 0.757 0.683
0.248 0.710 0.299
0.915 0.849 0.999
0.740 0.487 0.511
0.252 0.517 0.004
```

Output
DFT total energy ... -36.5 eV per formula unit
Space-group type ... P1



Below is SnHBr3N after structural relaxation, with properties calculated at the PBE level.

Structure (POSCAR):
```
SnHBr3N
1.0
3.543 0.000 0.000
0.000 9.698 -0.436
0.000 0.783 11.948
H Br Sn N
2 6 2 2
Direct
0.750 0.682 0.894
0.250 0.318 0.106
0.750 0.635 0.311
0.250 0.710 0.922
0.750 0.000 0.663
0.250 0.365 0.689
0.250 0.000 0.337
0.750 0.290 0.078
0.250 0.136 0.798
0.750 0.864 0.202
0.750 0.312 0.430
0.250 0.688 0.570
```

Output
DFT total energy ... -17.1 eV per formula unit
Space-group type ... P2_1/m



Below is SnH4Br3N after structural relaxation, with properties calculated at the PBE level.

Structure (POSCAR):
```
SnH4Br3N
1.0
4.551 0.000 0.000
0.000 10.225 0.000
0.000 0.000 16.102
Br H Sn N
12 16 4 4
Direct
0.750 0.238 0.734
0.250 0.156 0.516
0.750 0.476 0.390
0.750 0.844 0.484
0.250 0.262 0.234
0.250 0.656 0.984
0.250 0.524 0.610
0.750 0.738 0.766
0.750 0.344 0.016
0.250 0.762 0.266
0.250 0.024 0.890
0.750 0.976 0.110
0.750 0.503 0.126
0.250 0.997 0.626
0.433 0.888 0.690
0.567 0.612 0.190
0.933 0.112 0.310
0.067 0.888 0.690
0.567 0.112 0.310
0.067 0.388 0.810
0.250 0.015 0.732
0.750 0.985 0.268
0.433 0.388 0.810
0.750 0.485 0.232
0.250 0.515 0.768
0.933 0.612 0.190
0.250 0.497 0.874
0.750 0.003 0.374
0.250 0.166 0.068
0.750 0.834 0.932
0.250 0.666 0.432
0.750 0.334 0.568
0.750 0.552 0.183
0.250 0.448 0.817
0.750 0.052 0.317
0.250 0.948 0.683
```

Output
DFT total energy ... -36.5 eV per formula unit
Space-group type ... Pnma